1.
Computed, not measured: a relaxed CsTl3Pt crystal at the PBE level of DFT.

The structure belongs to space group P1 (No. 1); the cell edges are 5.5721, 7.4018 and 9.6796 Å and the angles 68.59°, 89.51° and 89.18°. Symmetry generates all atoms from Cs at (0.0000, 0.0000, 0.0000), Cs at (0.4930, 0.4241, 0.1918), Tl at (0.0032, 0.3596, 0.5442), Tl at (0.4895, 0.9441, 0.6846), Tl at (0.4972, 0.8614, 0.3093), Tl at (0.4999, 0.3481, 0.7774), Tl at (0.9924, 0.0281, 0.4101), Tl at (0.9930, 0.5930, 0.8485), Pt at (0.2463, 0.6755, 0.5758) and Pt at (0.7469, 0.6757, 0.5752).

The calculation puts the density at 8.41 g/cm³. The total energy is -2.929 eV/atom. For the density of states at the Fermi level, the calculation gives 2.4 states/eV/f.u. The value obtained for the energy of formation is -130 meV per atom. The value obtained for the energy above the most stable polymorph in this dataset is 8 kJ/mol of formula units.

2.
Computed, not measured: a relaxed CsTl12Pt6 crystal at the PBE level of DFT.

The structure belongs to space group R-3m (No. 166, hexagonal axes); the cell edges are 13.2346, 13.2346 and 10.0618 Å and the angles 90.00°, 90.00° and 120.00°. Symmetry generates all atoms from Cs at (0.0000, 0.0000, 0.0000), Tl at (0.0000, 0.3746, 0.5000), Tl at (0.0888, 0.1777, 0.3477) and Pt at (0.0429, 0.5214, 0.2712).

The calculation puts the density at 12.26 g/cm³. The total energy is -3.516 eV/atom. For the density of states at the Fermi level, the calculation gives 9.3 states/eV/f.u. The value obtained for the energy of formation is -69 meV per atom.

3.
Computed, not measured: a relaxed CsTl3Pt crystal at the PBE level of DFT.

The structure belongs to space group C2/m (No. 12); the cell edges are 13.6058, 7.3136 and 6.6657 Å and the angles 90.00°, 94.26° and 90.00°. Symmetry generates all atoms from Cs at (0.1440, 0.0000, 0.0090), Tl at (0.0000, 0.2354, 0.5000), Tl at (0.0882, 0.5000, 0.8568), Tl at (0.2500, 0.2500, 0.5000) and Pt at (0.1233, 0.5000, 0.2860).

The calculation puts the density at 9.45 g/cm³. The total energy is -2.902 eV/atom. For the density of states at the Fermi level, the calculation gives 2.8 states/eV/f.u. The value obtained for the energy of formation is -103 meV per atom. The value obtained for the energy above the most stable polymorph in this dataset is 21 kJ/mol of formula units.

4.
Computed, not measured: a relaxed Cs5Tl4Pt2 crystal at the PBE level of DFT.

The structure belongs to space group C2/m (No. 12); the cell edges are 24.5977, 4.2762 and 10.6203 Å and the angles 90.00°, 115.54° and 90.00°. Symmetry generates all atoms from Cs at (0.0000, 0.0000, 0.0000), Cs at (0.1560, 0.5000, 0.3716), Cs at (0.1560, 0.5000, 0.9404), Tl at (0.9999, 0.5000, 0.3478), Tl at (0.1843, 0.0000, 0.6843) and Pt at (0.0621, 0.0000, 0.5619).

The calculation puts the density at 6.17 g/cm³. The total energy is -2.329 eV/atom. For the density of states at the Fermi level, the calculation gives 10.6 states/eV/f.u. The value obtained for the energy of formation is 18 meV per atom. The value obtained for the energy above the most stable polymorph in this dataset is 67 kJ/mol of formula units.

5.
Computed, not measured: a relaxed Cs2Tl4Pt3 crystal at the PBE level of DFT.

The structure belongs to space group Ibam (No. 72); the cell edges are 7.1475, 12.8883 and 12.5278 Å and the angles 90.00°, 90.00° and 90.00°. Symmetry generates all atoms from Cs at (0.2072, 0.1331, 0.0000), Tl at (0.1870, 0.3874, 0.1626), Pt at (0.0000, 0.0000, 0.2500) and Pt at (0.0000, 0.2139, 0.2500).

The calculation puts the density at 9.60 g/cm³. The total energy is -3.383 eV/atom. For the density of states at the Fermi level, the calculation gives 4.6 states/eV/f.u. The value obtained for the energy of formation is -128 meV per atom.

6.
Computed, not measured: a relaxed Cs3Tl7Pt2 crystal at the PBE level of DFT.

The structure belongs to space group Cmmm (No. 65); the cell edges are 5.4435, 31.7353 and 5.3612 Å and the angles 90.00°, 90.00° and 90.00°. Symmetry generates all atoms from Cs at (0.0000, 0.0000, 0.0000), Cs at (0.0000, 0.1999, 0.0000), Tl at (0.0000, 0.0985, 0.5000), Tl at (0.0000, 0.3237, 0.5000), Tl at (0.0000, 0.3948, 0.0000), Tl at (0.0000, 0.5000, 0.5000) and Pt at (0.0000, 0.4173, 0.5000).

The calculation puts the density at 7.96 g/cm³. The total energy is -2.667 eV/atom. For the density of states at the Fermi level, the calculation gives 7.8 states/eV/f.u. The value obtained for the energy of formation is -67 meV per atom.

7.
Computed, not measured: a relaxed CsY2TlPt crystal at the PBE level of DFT.

The structure belongs to space group P4/mmm (No. 123); the cell edges are 5.5875, 5.5875 and 5.5645 Å and the angles 90.00°, 90.00° and 90.00°. Symmetry generates all atoms from Cs at (0.0000, 0.0000, 0.0000), Y at (0.0000, 0.5000, 0.5000), Tl at (0.5000, 0.5000, 0.0000) and Pt at (0.5000, 0.5000, 0.5000).

The calculation puts the density at 6.79 g/cm³. The total energy is -4.531 eV/atom. For the density of states at the Fermi level, the calculation gives 3.6 states/eV/f.u. The value obtained for the energy of formation is -94 meV per atom.

8.
Computed, not measured: a relaxed CsTl2ZnPt crystal at the PBE level of DFT.

The structure belongs to space group P4/mmm (No. 123); the cell edges are 5.4864, 5.4864 and 5.1428 Å and the angles 90.00°, 90.00° and 90.00°. Symmetry generates all atoms from Cs at (0.0000, 0.0000, 0.0000), Tl at (0.0000, 0.5000, 0.5000), Zn at (0.5000, 0.5000, 0.0000) and Pt at (0.5000, 0.5000, 0.5000).

The calculation puts the density at 8.60 g/cm³. The total energy is -2.685 eV/atom. For the density of states at the Fermi level, the calculation gives 2.8 states/eV/f.u. The value obtained for the energy of formation is -104 meV per atom.